# 1
Ca3NdH after structural relaxation. Source: Alexandria, functional PBE-GGA.

Cell: 5.318 5.318 5.318 Å, 90.00 90.00 90.00°
Space group Pm-3m (No. 221)
Symmetry-distinct sites (fractional):
1 Ca 0.000 0.000 0.500 (multiplicity 3)
2 Nd 0.500 0.500 0.500 (multiplicity 1)
3 H 0.000 0.000 0.000 (multiplicity 1)

The uncorrected energy is -2.84 eV/atom. As for the theoretical density: 2932 kg/m³.

# 2
KRb2AuBr6 after structural relaxation. Source: Alexandria, functional PBE-GGA.

Cell: 7.899 7.899 12.982 Å, 90.00 90.00 90.00°
Space group I4/mmm (No. 139)
Symmetry-distinct sites (fractional):
1 K 0.000 0.000 0.000 (multiplicity 2)
2 Rb 0.000 0.500 0.250 (multiplicity 4)
3 Au 0.000 0.000 0.500 (multiplicity 2)
4 Br 0.000 0.000 0.239 (multiplicity 4)
5 Br 0.221 0.221 0.500 (multiplicity 8)

As for the theoretical density: 3634 kg/m³. The energy above the most stable polymorph in this dataset comes out at 0 kJ/mol of formula units. The raw formation energy is -1027 meV per atom.

# 3
Y2AlP after structural relaxation. Source: Alexandria, functional PBE-GGA.

Cell: 4.150 4.150 10.561 Å, 90.00 90.00 90.00°
Space group I-4m2 (No. 119)
Symmetry-distinct sites (fractional):
1 Y 0.000 0.000 0.000 (multiplicity 2)
2 Y 0.000 0.500 0.250 (multiplicity 2)
3 Al 0.000 0.500 0.750 (multiplicity 2)
4 P 0.000 0.000 0.500 (multiplicity 2)

As for the theoretical density: 4305 kg/m³. The energy above the most stable polymorph in this dataset comes out at 114 kJ/mol of formula units. The calculated formation energy comes out at -0.61 eV/atom.

# 4
SmGa12Rh4 after structural relaxation. Source: Alexandria, functional PBE-GGA.

Cell: 8.767 8.767 8.767 Å, 90.00 90.00 90.00°
Space group Im-3 (No. 204)
Symmetry-distinct sites (fractional):
1 Sm 0.000 0.000 0.000 (multiplicity 2)
2 Ga 0.000 0.158 0.341 (multiplicity 24)
3 Rh 0.250 0.250 0.250 (multiplicity 8)

As for the theoretical density: 6894 kg/m³. The calculated formation energy comes out at -0.24 eV/atom.

# 5
LiCe2Zn7 after structural relaxation. Source: Alexandria, functional PBE-GGA.

Cell: 4.213 4.213 10.838 Å, 90.00 90.00 90.00°
Space group P-4m2 (No. 115)
Symmetry-distinct sites (fractional):
1 Li 0.000 0.000 0.000 (multiplicity 1)
2 Ce 0.000 0.500 0.739 (multiplicity 2)
3 Zn 0.000 0.000 0.500 (multiplicity 1)
4 Zn 0.000 0.500 0.139 (multiplicity 2)
5 Zn 0.000 0.500 0.368 (multiplicity 2)
6 Zn 0.500 0.500 0.000 (multiplicity 1)
7 Zn 0.500 0.500 0.500 (multiplicity 1)

As for the theoretical density: 6430 kg/m³. The calculated formation energy comes out at -0.21 eV/atom.

# 6
Cs2MoRuCl6 after structural relaxation. Source: Alexandria, functional PBE-GGA.

Cell: 10.289 10.289 10.289 Å, 90.00 90.00 90.00°
Space group Fm-3m (No. 225)
Symmetry-distinct sites (fractional):
1 Cs 0.250 0.250 0.250 (multiplicity 8)
2 Mo 0.000 0.000 0.000 (multiplicity 4)
3 Ru 0.000 0.000 0.500 (multiplicity 4)
4 Cl 0.000 0.000 0.244 (multiplicity 24)

As for the theoretical density: 4120 kg/m³. The raw formation energy is -949 meV per atom.

# 7
CuSnH2 after structural relaxation. Source: Alexandria, functional PBE-GGA.

Cell: 4.790 4.790 8.813 Å, 90.00 90.00 90.00°
Space group I-42d (No. 122)
Symmetry-distinct sites (fractional):
1 Cu 0.000 0.000 0.000 (multiplicity 4)
2 Sn 0.000 0.000 0.500 (multiplicity 4)
3 H 0.060 0.250 0.125 (multiplicity 8)

As for the theoretical density: 6052 kg/m³. The energy above the most stable polymorph in this dataset comes out at 0 kJ/mol of formula units.

# 8
Cd3SiS4 after structural relaxation. Source: Alexandria, functional PBE-GGA.

Cell: 8.012 8.106 6.193 Å, 90.00 90.00 90.00°
Space group Pmn2_1 (No. 31)
Symmetry-distinct sites (fractional):
1 Cd 0.000 0.153 0.000 (multiplicity 2)
2 Cd 0.243 0.656 0.996 (multiplicity 4)
3 Si 0.000 0.825 0.470 (multiplicity 2)
4 S 0.000 0.183 0.409 (multiplicity 2)
5 S 0.000 0.842 0.850 (multiplicity 2)
6 S 0.236 0.657 0.417 (multiplicity 4)

As for the theoretical density: 4075 kg/m³. The raw formation energy is -376 meV per atom.